Density functional theory data (PBEsol) for a geometry-optimized SbSeS2N structure.

Cell: 3.678 4.889 4.889 Å, 90.00 90.00 90.00°
Atoms (fractional coordinates):
Sb 0.500 0.500 0.500
S 0.000 0.000 0.500
S 0.000 0.500 0.000
Se 0.000 0.000 0.000
N 0.500 0.000 0.000

E_form (uncorrected)	0.755	eV per atom
crystal system	tetragonal
space group	No. 123

=====

Density functional theory data (PBEsol) for a geometry-optimized CdPd3 structure.

Cell: 3.950 3.950 3.950 Å, 90.00 90.00 90.00°
Atoms (fractional coordinates):
Pd 0.000 0.500 0.500
Pd 0.500 0.000 0.500
Pd 0.500 0.500 0.000
Cd 0.000 0.000 0.000

crystal system	cubic
formation energy	-0.240	eV per atom
space group	No. 221

=====

Density functional theory data (PBEsol) for a geometry-optimized FeCoAs2P structure.

Cell: 4.323 4.323 4.467 Å, 90.00 90.00 90.00°
Each line ends with the local moment (μB).
Atoms (fractional coordinates):
P 0.500 0.500 0.500  0.01
As 0.000 0.500 0.000  0.00
As 0.500 0.000 0.000  0.00
Co 0.000 0.000 0.500  1.83
Fe 0.000 0.000 0.000  0.74

crystal system	tetragonal
formation energy	0.787	eV per atom
space group	No. 123

=====

Density functional theory data (PBEsol) for a geometry-optimized SiPt2W structure.

Cell: 2.801 4.099 5.271 Å, 90.00 104.68 90.00°
Atoms (fractional coordinates):
Pt 0.613 0.000 0.757
Pt 0.387 0.000 0.243
Si 0.500 0.500 0.000
W 0.000 0.500 0.500

E_form (uncorrected)	-0.273	eV per atom
crystal system	monoclinic
space group	No. 10

=====

Computed values of N(E_F) (unit: states/eV/f.u.) for the preceding records, in sequence: 2.9, 4.4, 4.6, 1.7.
Computed values of spin magnetization (unit: μB per cell) for the preceding records, in sequence: 0.0, 0.0, 2.6, 0.0.